Density functional theory data (PBE) for an optimized crystal structure of AcPm2Y6Tm3.

The structure in CIF format:
```
data_AcPm2Y6Tm3
_space_group_name_H-M_alt 'P 1'
_space_group_IT_number 1
_cell_length_a 6.246
_cell_length_b 6.246
_cell_length_c 11.883
_cell_angle_alpha 95.02
_cell_angle_beta 95.02
_cell_angle_gamma 119.97
loop_
_space_group_symop_operation_xyz
'x,y,z'
loop_
_atom_site_label
_atom_site_fract_x
_atom_site_fract_y
_atom_site_fract_z
Ac1 0.000 0.000 0.000
Pm1 0.333 0.667 0.000
Pm2 0.667 0.333 0.000
Y1 0.087 0.422 0.257
Y2 0.249 0.249 0.743
Y3 0.422 0.087 0.257
Y4 0.578 0.913 0.743
Y5 0.751 0.751 0.257
Y6 0.913 0.578 0.743
Tm1 0.167 0.833 0.500
Tm2 0.500 0.500 0.500
Tm3 0.833 0.167 0.500
```

Computed properties:
Energy = -0.4005 Ry per atom
Energy relative to the elements = 0.035 eV per atom
Space-group type = No. 12
Size of the total moment = 0.00 μB per formula unit